A geometry-optimized Lu2CdSi structure, computed with GGA-PBE.

a b c (Å): 3.6032 3.6032 6.9228
angles (deg): 90.00 90.00 90.00
Last column: nearest neighbours and their distance in Å.
Atoms (fractional coordinates):
Lu 0.0000 0.0000 0.2290  4 Si 3.00, 4 Cd 3.16, 1 Lu 3.17
Lu 0.0000 0.0000 0.7710  4 Si 3.00, 4 Cd 3.16, 1 Lu 3.17
Cd 0.5000 0.5000 0.5000  8 Lu 3.16, 2 Si 3.46
Si 0.5000 0.5000 0.0000  8 Lu 3.00

Summary:
Theoretical density: 9.06 g cm⁻³
Size of the total moment: 0.00 μB/f.u.
E_form (uncorrected): -0.38 eV per atom


A geometry-optimized Tb2PbSe structure, computed with GGA-PBE.

a b c (Å): 3.5509 3.5509 8.0747
angles (deg): 90.00 90.00 90.00
Last column: nearest neighbours and their distance in Å.
Atoms (fractional coordinates):
Tb 0.0000 0.0000 0.2250  4 Se 3.10, 4 Pb 3.35
Tb 0.0000 0.0000 0.7750  4 Se 3.10, 4 Pb 3.35
Pb 0.5000 0.5000 0.5000  8 Tb 3.35, 4 Pb 3.55
Se 0.5000 0.5000 0.0000  8 Tb 3.10

Summary:
ΔE to the lowest computed polymorph: 0.59 eV/f.u.
Theoretical density: 9.85 g cm⁻³
Size of the total moment: 0.43 μB/f.u.
E_form (uncorrected): -0.97 eV per atom